Compound: BaHfPt2N
Source: Alexandria via LeMat-Bulk
Functional: PBE
Structure: optimized geometry

Computed properties:
The symmetry is P4/mmm, No. 123. The theoretical density is 11.61 g/cm3. The formation energy without anion corrections comes out at -0.17 eV/atom. As for the size of the total moment: 0.000 μB per atom.

Unit cell a=5.020 b=4.086 c=5.020 alpha=90.00 beta=90.00 gamma=90.00
Sites, in units of the cell vectors:
1 Ba 0.500 0.500 0.500
2 N 0.000 0.000 0.000
3 Hf 0.000 0.500 0.000
4 Pt 0.500 0.000 0.000
5 Pt 0.000 0.000 0.500